A plane-wave DFT calculation with PBE+U was carried out for VPb3O after structural relaxation.

Magnetic moment: 3.0 Bohr magnetons per cell
Raw total energy: -3.8513 eV/atom
Space-group type: Pm-3m (221)

Unit cell a=5.3195 b=5.3195 c=5.3195 alpha=90.00 beta=90.00 gamma=90.00
With the nearest neighbours (Å) after each atom.
Element x y z (fractional)
Pb 0.0000 0.5000 0.0000  2 V 2.66
Pb 0.5000 0.0000 0.0000  2 V 2.66
Pb 0.0000 0.0000 0.5000  2 V 2.66
V 0.0000 0.0000 0.0000  6 Pb 2.66
O 0.5000 0.5000 0.5000  12 Pb 3.76